Record 1
# K2Zn2Pb PBE optimized geometry
# Total moment ... 0.00 μB per cell
# Formation energy ... 0.024 eV/atom
data_K2Zn2Pb
_symmetry_space_group_name_H-M 'P 4/m b m'
_symmetry_Int_Tables_number 127
_symmetry_space_group_name_Hall '-P 4 2ab'
_cell_length_a 7.497
_cell_length_b 7.497
_cell_length_c 5.638
_cell_angle_alpha 90.00
_cell_angle_beta 90.00
_cell_angle_gamma 90.00
loop_
_atom_site_label
_atom_site_type_symbol
_atom_site_fract_x
_atom_site_fract_y
_atom_site_fract_z
_atom_site_occupancy
K1 K 0.183 0.317 0.000 1
Zn1 Zn 0.124 0.624 0.500 1
Pb1 Pb 0.000 0.000 0.500 1

---

Record 2
# K2ZnPb2 PBE optimized geometry
# Total moment ... 0.00 μB per cell
# Formation energy ... 0.122 eV/atom
data_K2ZnPb2
_symmetry_space_group_name_H-M 'P 4/m b m'
_symmetry_Int_Tables_number 127
_symmetry_space_group_name_Hall '-P 4 2ab'
_cell_length_a 10.224
_cell_length_b 10.224
_cell_length_c 3.852
_cell_angle_alpha 90.00
_cell_angle_beta 90.00
_cell_angle_gamma 90.00
loop_
_atom_site_label
_atom_site_type_symbol
_atom_site_fract_x
_atom_site_fract_y
_atom_site_fract_z
_atom_site_occupancy
K1 K 0.196 0.304 0.000 1
Zn1 Zn 0.000 0.000 0.500 1
Pb1 Pb 0.101 0.601 0.500 1

---

Record 3
# KZr2Pb2 PBE optimized geometry
# Total moment ... 2.00 μB per cell
# Formation energy ... -0.010 eV/atom
data_KZr2Pb2
_symmetry_space_group_name_H-M 'P 4/m b m'
_symmetry_Int_Tables_number 127
_symmetry_space_group_name_Hall '-P 4 2ab'
_cell_length_a 9.196
_cell_length_b 9.196
_cell_length_c 3.252
_cell_angle_alpha 90.00
_cell_angle_beta 90.00
_cell_angle_gamma 90.00
loop_
_atom_site_label
_atom_site_type_symbol
_atom_site_fract_x
_atom_site_fract_y
_atom_site_fract_z
_atom_site_occupancy
K1 K 0.000 0.000 0.000 1
Zr1 Zr 0.118 0.382 0.000 1
Pb1 Pb 0.173 0.673 0.500 1

---

Record 4
# KZr3Pb PBE optimized geometry
# Total moment ... 2.59 μB per cell
# Formation energy ... 1.755 eV/atom
data_KZr3Pb
_symmetry_space_group_name_H-M 'P m -3 m'
_symmetry_Int_Tables_number 221
_symmetry_space_group_name_Hall '-P 4 2 3'
_cell_length_a 5.026
_cell_length_b 5.026
_cell_length_c 5.026
_cell_angle_alpha 90.00
_cell_angle_beta 90.00
_cell_angle_gamma 90.00
loop_
_atom_site_label
_atom_site_type_symbol
_atom_site_fract_x
_atom_site_fract_y
_atom_site_fract_z
_atom_site_occupancy
K1 K 0.000 0.000 0.000 1
Zr1 Zr 0.000 0.000 0.500 1
Pb1 Pb 0.500 0.500 0.500 1

---

| no. | D(E_F) (states/eV per cell) |
| --- | --- |
| 1 | 4.86 |
| 2 | 5.56 |
| 3 | 2.15 |
| 4 | 4.18 |